Material: Y6HN5
Method: DFT, PBE-GGA
State: optimized geometry

abc: 6.0326 6.0326 6.0389
angles: 99.67 99.67 119.91
Atoms (fractional coordinates):
Y  0.2633  0.2633  0.7357
Y  0.5633  0.9145  0.7445
Y  0.7367  0.7367  0.2643
Y  0.0855  0.4367  0.2555
Y  0.4367  0.0855  0.2555
Y  0.9145  0.5633  0.7445
N  0.6670  0.3330  0.0000
N  0.5000  0.5000  0.5000
N  0.8327  0.1673  0.5000
N  0.3330  0.6670  0.0000
N  0.1673  0.8327  0.5000
H  0.0000  0.0000  0.0000

Density of states at the Fermi level, states/eV/cell: 2.73
Uncorrected energy, eV per cell: -101.8